## Cs2LaPd3F12 (PBE)

Data for a relaxed Cs2LaPd3F12 crystal.

For the mass density, the calculation gives 4.69 Mg/m³. Its uncorrected formation energy is -2.207 eV per atom. Its density of states at the Fermi level is 6.45 states/eV/f.u.

```
data_Cs2LaPd3F12
_chemical_formula_sum 'Cs6 La3 Pd9 F36'
_cell_length_a 8.2777
_cell_length_b 8.2777
_cell_length_c 17.0487
_cell_angle_alpha 90.00
_cell_angle_beta 90.00
_cell_angle_gamma 120.00
_space_group_name_H-M_alt 'R -3 m'
_space_group_IT_number 166
_space_group_name_Hall '-R 3 2"'
loop_
_atom_site_label
_atom_site_fract_x
_atom_site_fract_y
_atom_site_fract_z
Cs1 0.0000 0.0000 0.1169
La1 0.0000 0.0000 0.5000
Pd1 0.0000 0.5000 0.0000
F1 0.0116 0.5058 0.1213
F2 0.0981 0.5491 0.3211
```

---

## Cs2RbLaF6 (PBE)

Data for a relaxed Cs2RbLaF6 crystal.

For the mass density, the calculation gives 4.05 Mg/m³. Its uncorrected formation energy is -3.318 eV per atom. Its density of states at the Fermi level is 0.00 states/eV/f.u.

```
data_Cs2RbLaF6
_chemical_formula_sum 'Cs4 Rb2 La2 F12'
_cell_length_a 6.994
_cell_length_b 7.129
_cell_length_c 12.129
_cell_angle_alpha 90.00
_cell_angle_beta 125.02
_cell_angle_gamma 90.00
_space_group_name_H-M_alt 'P 1 21/c 1'
_space_group_IT_number 14
_space_group_name_Hall '-P 2ybc'
loop_
_atom_site_label
_atom_site_fract_x
_atom_site_fract_y
_atom_site_fract_z
Cs1 0.239 0.039 0.249
Rb1 0.000 0.000 0.500
La1 0.500 0.000 0.000
F1 0.190 0.184 0.959
F2 0.268 0.734 0.948
F3 0.362 0.038 0.775
```

---

## Cs2LaRuF6 (PBE)

Data for a relaxed Cs2LaRuF6 crystal.

For the mass density, the calculation gives 4.69 Mg/m³. Its uncorrected formation energy is -2.587 eV per atom. Its density of states at the Fermi level is 0.00 states/eV/f.u.

```
data_Cs2LaRuF6
_chemical_formula_sum 'Cs4 La2 Ru2 F12'
_cell_length_a 6.344
_cell_length_b 6.344
_cell_length_c 10.893
_cell_angle_alpha 90.00
_cell_angle_beta 90.00
_cell_angle_gamma 90.00
_space_group_name_H-M_alt 'I 4/m m m'
_space_group_IT_number 139
_space_group_name_Hall '-I 4 2'
loop_
_atom_site_label
_atom_site_fract_x
_atom_site_fract_y
_atom_site_fract_z
Cs1 0.000 0.500 0.250
La1 0.000 0.000 0.000
Ru1 0.000 0.000 0.500
F1 0.000 0.000 0.211
F2 0.241 0.241 0.500
```

---

## Cs2LaSF6 (PBE)

Data for a relaxed Cs2LaSF6 crystal.

For the mass density, the calculation gives 3.80 Mg/m³. Its uncorrected formation energy is -2.607 eV per atom. Its density of states at the Fermi level is 4.55 states/eV/f.u.

```
data_Cs2LaSF6
_chemical_formula_sum 'Cs4 La2 S2 F12'
_cell_length_a 6.438
_cell_length_b 6.438
_cell_length_c 11.620
_cell_angle_alpha 90.00
_cell_angle_beta 90.00
_cell_angle_gamma 90.00
_space_group_name_H-M_alt 'I 4/m m m'
_space_group_IT_number 139
_space_group_name_Hall '-I 4 2'
loop_
_atom_site_label
_atom_site_fract_x
_atom_site_fract_y
_atom_site_fract_z
Cs1 0.000 0.500 0.250
La1 0.000 0.000 0.000
S1 0.000 0.000 0.500
F1 0.000 0.000 0.197
F2 0.246 0.246 0.500
```